Below is an optimized crystal structure of NaTl3W2O8, with properties calculated at the PBE+U level.

Properties
The electronic total energy is -6.088 eV/atom.

Lattice parameters (Å, degrees): 6.2720 6.2720 7.8974 90.00 90.00 120.00
Last column: nearest neighbours and their distance in Å.
Sites, in units of the cell vectors:
Na 0.0000 0.0000 0.5000  6 O 2.51
Tl 0.3333 0.6667 0.6680  1 O 2.50
Tl 0.6667 0.3333 0.3320  1 O 2.50
Tl 0.0000 0.0000 0.0000  6 O 3.00
W 0.3333 0.6667 0.2144  4 O 1.82
W 0.6667 0.3333 0.7856  4 O 1.82
O 0.3333 0.6667 0.9845  1 W 1.82
O 0.6667 0.3333 0.0155  1 W 1.82
O 0.1755 0.8245 0.2931  1 W 1.82
O 0.8245 0.1755 0.7069  1 W 1.82
O 0.1755 0.3510 0.2931  1 W 1.82
O 0.8245 0.6490 0.7069  1 W 1.82
O 0.6490 0.8245 0.2931  1 W 1.82
O 0.3510 0.1755 0.7069  1 W 1.82